No. 1
# NiIrRh2

An optimized crystal structure of NiIrRh2 (PBE-GGA, Alexandria via LeMat-Bulk).

Summary:
* volume: 13.5 Å³/atom
* distance to the lowest polymorph of the same formula: 0.00 eV per formula unit
* crystal system: tetragonal
* energy relative to the elements: 0.01 eV/f.u.

Cell lengths 4.650, 4.650, 4.650 Å; angles 132.20, 132.20, 69.91 degrees
Positions (direct):
Ni (0.750, 0.250, 0.500)
Ir (0.250, 0.750, 0.500)
Rh (0.000, 0.000, 0.000)
Rh (0.500, 0.500, 0.000)

***

No. 2
# NiIr2Rh6

An optimized crystal structure of NiIr2Rh6 (PBE-GGA, Alexandria via LeMat-Bulk).

Summary:
* volume: 15.0 Å³/atom
* distance to the lowest polymorph of the same formula: 4.37 eV per formula unit
* crystal system: cubic
* energy relative to the elements: 4.68 eV/f.u.

Cell lengths 5.760, 5.760, 5.760 Å; angles 120.00, 120.00, 90.00 degrees
Positions (direct):
Ni (0.000, 0.000, 0.000)
Ir (0.750, 0.250, 0.500)
Ir (0.250, 0.750, 0.500)
Rh (0.276, 0.276, 0.000)
Rh (0.724, 0.724, 0.000)
Rh (0.724, 0.276, 0.000)
Rh (0.276, 0.276, 0.552)
Rh (0.276, 0.724, 0.000)
Rh (0.724, 0.724, 0.448)

***

No. 3
# Ni2Ir3Rh8

An optimized crystal structure of Ni2Ir3Rh8 (PBE-GGA, Alexandria via LeMat-Bulk).

Summary:
* volume: 15.4 Å³/atom
* crystal system: orthorhombic
* energy relative to the elements: 4.14 eV/f.u.

Cell lengths 3.791, 7.818, 7.818 Å; angles 59.62, 89.98, 89.98 degrees
Positions (direct):
Ni (0.501, 0.745, 0.745)
Ni (0.499, 0.255, 0.255)
Ir (0.500, 0.000, 0.000)
Ir (0.000, 0.758, 0.242)
Ir (0.000, 0.242, 0.758)
Rh (0.000, 0.377, 0.377)
Rh (0.000, 0.623, 0.623)
Rh (0.000, 0.858, 0.858)
Rh (0.000, 0.142, 0.142)
Rh (0.500, 0.389, 0.881)
Rh (0.500, 0.881, 0.389)
Rh (0.500, 0.119, 0.611)
Rh (0.500, 0.611, 0.119)

***

No. 4
# Ni2IrRh

An optimized crystal structure of Ni2IrRh (PBE-GGA, Alexandria via LeMat-Bulk).

Summary:
* volume: 13.2 Å³/atom
* distance to the lowest polymorph of the same formula: 0.98 eV per formula unit
* crystal system: orthorhombic
* energy relative to the elements: 0.96 eV/f.u.

Cell lengths 2.631, 2.631, 8.741 Å; angles 90.00, 90.00, 119.14 degrees
Positions (direct):
Ir (0.500, 0.500, 0.759)
Ni (0.000, 0.000, 0.009)
Ni (0.500, 0.500, 0.241)
Rh (0.000, 0.000, 0.491)

***

Among the records above, which one has the highest volume?
Ni2Ir3Rh8